Record 1
First-principles (PBE) data for SmHPt after structural relaxation, as listed in Alexandria.

Cell: 4.8319 4.8319 4.8319 Å, 133.58 133.58 67.74°
Closest atoms and distances in Å follow each position.
Fractional coordinates of all 3 atoms:
Sm 0.0000 0.0000 0.0000  4 H 2.78, 5 Pt 2.89-2.96
H 0.4155 0.4155 0.0000  1 Pt 1.73
Pt 0.6314 0.6314 0.0000  1 H 1.73

Size of the total moment (μB per cell): 0.00
DOS at the Fermi energy (states/eV per cell): 0.90
Distance to the lowest polymorph of the same formula (meV/atom): 273.2


Record 2
First-principles (PBE) data for SmHPt after structural relaxation, as listed in Alexandria.

Cell: 8.1125 7.8196 6.1609 Å, 69.79 64.76 45.45°
Closest atoms and distances in Å follow each position.
Fractional coordinates of all 12 atoms:
Sm 0.0979 0.6521 0.0979  2 H 2.15
Sm 0.3479 0.9021 0.3479  2 H 2.15
Sm 0.6521 0.0979 0.6521  2 H 2.15
Sm 0.9021 0.3479 0.9021  2 H 2.15
H 0.0000 0.0000 0.0000  2 Sm 2.15
H 0.0000 0.0000 0.5000  2 Sm 2.15
H 0.0000 0.5000 0.0000  2 Sm 2.15
H 0.5000 0.0000 0.0000  2 Sm 2.15
Pt 0.2688 0.2688 0.4812  4 Sm 2.81-2.92, 3 Pt 2.83-3.12
Pt 0.4812 0.4812 0.2688  4 Sm 2.81-2.92, 3 Pt 2.83-3.12
Pt 0.5188 0.5188 0.7312  4 Sm 2.81-2.92, 3 Pt 2.83-3.12
Pt 0.7312 0.7312 0.5188  4 Sm 2.81-2.92, 3 Pt 2.83-3.12

Size of the total moment (μB per cell): 0.00
DOS at the Fermi energy (states/eV per cell): 2.89
Distance to the lowest polymorph of the same formula (meV/atom): 416.8


Record 3
First-principles (PBE) data for SmHPt3 after structural relaxation, as listed in Alexandria.

Cell: 4.2433 4.2433 4.2433 Å, 90.10 90.10 90.10°
Closest atoms and distances in Å follow each position.
Fractional coordinates of all 5 atoms:
Sm 0.0000 0.0000 0.0000  1 H 2.49
H 0.6612 0.6612 0.6612  3 Pt 1.81
Pt 0.0177 0.4946 0.4946  1 H 1.81
Pt 0.4946 0.0177 0.4946  1 H 1.81
Pt 0.4946 0.4946 0.0177  1 H 1.81

Size of the total moment (μB per cell): 0.00
DOS at the Fermi energy (states/eV per cell): 0.79
Distance to the lowest polymorph of the same formula (meV/atom): 0.0


Record 4
First-principles (PBE) data for Sm2H3Pt17 after structural relaxation, as listed in Alexandria.

Cell: 7.0407 7.0407 7.0407 Å, 83.30 83.30 83.30°
Closest atoms and distances in Å follow each position.
Fractional coordinates of all 22 atoms:
Sm 0.1633 0.1633 0.1633  3 H 2.70
Sm 0.8367 0.8367 0.8367  3 H 2.70
H 0.0000 0.0000 0.5000  2 Pt 1.81
H 0.0000 0.5000 0.0000  2 Pt 1.81
H 0.5000 0.0000 0.0000  2 Pt 1.81
Pt 0.0000 0.5000 0.5000  10 Pt 2.68-2.82
Pt 0.1571 0.1571 0.6647  1 H 2.16
Pt 0.1571 0.6647 0.1571  1 H 2.16
Pt 0.1938 0.5000 0.8062  1 H 1.81
Pt 0.1938 0.8062 0.5000  1 H 1.81
Pt 0.3353 0.8429 0.8429  1 H 2.16
Pt 0.3921 0.3921 0.3921  7 Pt 2.82-2.92, 1 Sm 3.10
Pt 0.5000 0.0000 0.5000  10 Pt 2.68-2.82
Pt 0.5000 0.1938 0.8062  1 H 1.81
Pt 0.5000 0.5000 0.0000  10 Pt 2.68-2.82
Pt 0.5000 0.8062 0.1938  1 H 1.81
Pt 0.6079 0.6079 0.6079  7 Pt 2.82-2.92, 1 Sm 3.10
Pt 0.6647 0.1571 0.1571  1 H 2.16
Pt 0.8062 0.1938 0.5000  1 H 1.81
Pt 0.8062 0.5000 0.1938  1 H 1.81
Pt 0.8429 0.3353 0.8429  1 H 2.16
Pt 0.8429 0.8429 0.3353  1 H 2.16

Size of the total moment (μB per cell): 0.00
Total energy (eV/atom): -5.902
DOS at the Fermi energy (states/eV per cell): 16.05


Record 5
First-principles (PBE) data for SmH2Pt after structural relaxation, as listed in Alexandria.

Cell: 3.7982 4.3736 6.4467 Å, 90.00 106.98 90.00°
Closest atoms and distances in Å follow each position.
Fractional coordinates of all 8 atoms:
Sm 0.1485 0.2500 0.2954  6 H 2.30-2.51
Sm 0.8515 0.7500 0.7046  6 H 2.30-2.51
H 0.0635 0.7500 0.1242  2 Pt 1.90
H 0.2480 0.7500 0.4940  1 H 2.28, 4 Sm 2.30-2.51
H 0.7520 0.2500 0.5060  1 H 2.28, 4 Sm 2.30-2.51
H 0.9365 0.2500 0.8758  2 Pt 1.90
Pt 0.4296 0.2500 0.8626  2 H 1.90
Pt 0.5704 0.7500 0.1374  2 H 1.90

Size of the total moment (μB per cell): 0.00
DOS at the Fermi energy (states/eV per cell): 1.67
Distance to the lowest polymorph of the same formula (meV/atom): 8.4


Record 6
First-principles (PBE) data for SmHPt after structural relaxation, as listed in Alexandria.

Cell: 5.7565 5.7565 4.7613 Å, 90.00 90.00 141.23°
Closest atoms and distances in Å follow each position.
Fractional coordinates of all 6 atoms:
Sm 0.1366 0.8634 0.7500  3 H 2.41-2.57
Sm 0.8634 0.1366 0.2500  3 H 2.41-2.57
H 0.1001 0.8999 0.2500  2 Pt 1.91
H 0.8999 0.1001 0.7500  2 Pt 1.91
Pt 0.4110 0.5890 0.7500  2 H 1.91
Pt 0.5890 0.4110 0.2500  2 H 1.91

Size of the total moment (μB per cell): 0.00
DOS at the Fermi energy (states/eV per cell): 2.87
Distance to the lowest polymorph of the same formula (meV/atom): 8.6


Record 7
First-principles (PBE) data for Sm12H5Pt3 after structural relaxation, as listed in Alexandria.

Cell: 13.4019 13.4019 13.4019 Å, 109.47 109.47 109.47°
Closest atoms and distances in Å follow each position.
Fractional coordinates of all 80 atoms:
Sm 0.0246 0.2145 0.1177  1 H 2.23
Sm 0.0246 0.3101 0.9069  1 H 2.23
Sm 0.0931 0.6177 0.4032  1 H 2.23
Sm 0.0931 0.9754 0.6899  1 H 2.23
Sm 0.0968 0.7145 0.6899  1 H 2.23
Sm 0.0968 0.8823 0.4069  1 H 2.23
Sm 0.1177 0.0246 0.2145  1 H 2.23
Sm 0.1177 0.5931 0.9032  1 H 2.23
Sm 0.1899 0.2145 0.5968  1 H 2.23
Sm 0.1899 0.4754 0.5931  1 H 2.23
Sm 0.2145 0.1177 0.0246  1 H 2.23
Sm 0.2145 0.5968 0.1899  1 H 2.23
Sm 0.2855 0.3101 0.9032  1 H 2.23
Sm 0.2855 0.4754 0.3823  1 H 2.23
Sm 0.3101 0.9032 0.2855  1 H 2.23
Sm 0.3101 0.9069 0.0246  1 H 2.23
Sm 0.3823 0.2855 0.4754  1 H 2.23
Sm 0.3823 0.5968 0.9069  1 H 2.23
Sm 0.4032 0.0931 0.6177  1 H 2.23
Sm 0.4032 0.8101 0.7855  1 H 2.23
Sm 0.4069 0.0968 0.8823  1 H 2.23
Sm 0.4069 0.8101 0.5246  1 H 2.23
Sm 0.4754 0.3823 0.2855  1 H 2.23
Sm 0.4754 0.5931 0.1899  1 H 2.23
Sm 0.5246 0.4069 0.8101  1 H 2.23
Sm 0.5246 0.6177 0.7145  1 H 2.23
Sm 0.5931 0.1899 0.4754  1 H 2.23
Sm 0.5931 0.9032 0.1177  1 H 2.23
Sm 0.5968 0.1899 0.2145  1 H 2.23
Sm 0.5968 0.9069 0.3823  1 H 2.23
Sm 0.6177 0.4032 0.0931  1 H 2.23
Sm 0.6177 0.7145 0.5246  1 H 2.23
Sm 0.6899 0.0931 0.9754  1 H 2.23
Sm 0.6899 0.0968 0.7145  1 H 2.23
Sm 0.7145 0.5246 0.6177  1 H 2.23
Sm 0.7145 0.6899 0.0968  1 H 2.23
Sm 0.7855 0.4032 0.8101  1 H 2.23
Sm 0.7855 0.8823 0.9754  1 H 2.23
Sm 0.8101 0.5246 0.4069  1 H 2.23
Sm 0.8101 0.7855 0.4032  1 H 2.23
Sm 0.8823 0.4069 0.0968  1 H 2.23
Sm 0.8823 0.9754 0.7855  1 H 2.23
Sm 0.9032 0.1177 0.5931  1 H 2.23
Sm 0.9032 0.2855 0.3101  1 H 2.23
Sm 0.9069 0.0246 0.3101  1 H 2.23
Sm 0.9069 0.3823 0.5968  1 H 2.23
Sm 0.9754 0.6899 0.0931  1 H 2.23
Sm 0.9754 0.7855 0.8823  1 H 2.23
H 0.0000 0.0000 0.0000  6 Sm 2.62
H 0.0000 0.0000 0.5000  6 Sm 2.62
H 0.0000 0.5000 0.0000  6 Sm 2.62
H 0.0000 0.5000 0.5000  6 Sm 2.62
H 0.1250 0.7500 0.8750  4 Sm 2.23
H 0.1250 0.8750 0.2500  4 Sm 2.23
H 0.2500 0.1250 0.8750  4 Sm 2.23
H 0.2500 0.6250 0.3750  4 Sm 2.23
H 0.3750 0.2500 0.6250  4 Sm 2.23
H 0.3750 0.6250 0.7500  4 Sm 2.23
H 0.5000 0.0000 0.0000  6 Sm 2.62
H 0.5000 0.0000 0.5000  6 Sm 2.62
H 0.5000 0.5000 0.0000  6 Sm 2.62
H 0.5000 0.5000 0.5000  6 Sm 2.62
H 0.6250 0.3750 0.2500  4 Sm 2.23
H 0.6250 0.7500 0.3750  4 Sm 2.23
H 0.7500 0.3750 0.6250  4 Sm 2.23
H 0.7500 0.8750 0.1250  4 Sm 2.23
H 0.8750 0.1250 0.7500  4 Sm 2.23
H 0.8750 0.2500 0.1250  4 Sm 2.23
Pt 0.1250 0.2500 0.3750  8 Sm 3.02-3.05
Pt 0.1250 0.3750 0.7500  8 Sm 3.02-3.05
Pt 0.2500 0.3750 0.1250  8 Sm 3.02-3.05
Pt 0.2500 0.8750 0.6250  8 Sm 3.02-3.05
Pt 0.3750 0.1250 0.2500  8 Sm 3.02-3.05
Pt 0.3750 0.7500 0.1250  8 Sm 3.02-3.05
Pt 0.6250 0.2500 0.8750  8 Sm 3.02-3.05
Pt 0.6250 0.8750 0.7500  8 Sm 3.02-3.05
Pt 0.7500 0.1250 0.3750  8 Sm 3.02-3.05
Pt 0.7500 0.6250 0.8750  8 Sm 3.02-3.05
Pt 0.8750 0.6250 0.2500  8 Sm 3.02-3.05
Pt 0.8750 0.7500 0.6250  8 Sm 3.02-3.05

Size of the total moment (μB per cell): 0.00
Total energy (eV/atom): -5.084
DOS at the Fermi energy (states/eV per cell): 86.22


Record 8
First-principles (PBE) data for SmH6Pt2 after structural relaxation, as listed in Alexandria.

Cell: 6.2628 6.2628 6.2628 Å, 107.16 103.12 118.56°
Closest atoms and distances in Å follow each position.
Fractional coordinates of all 18 atoms:
Sm 0.3334 0.0834 0.2500  10 H 2.30-2.55
Sm 0.6666 0.9166 0.7500  10 H 2.30-2.55
H 0.1584 0.2169 0.9415  2 Pt 1.87
H 0.1590 0.2036 0.5445  2 Pt 1.78
H 0.1590 0.6145 0.9555  2 Pt 1.78
H 0.2247 0.7831 0.4415  2 Pt 1.87
H 0.3941 0.0000 0.8941  1 Pt 1.65, 1 H 1.65
H 0.3941 0.5000 0.3941  1 Pt 1.65, 1 H 1.65
H 0.6059 0.0000 0.1059  1 Pt 1.65, 1 H 1.65
H 0.6059 0.5000 0.6059  1 Pt 1.65, 1 H 1.65
H 0.7753 0.2169 0.5585  2 Pt 1.87
H 0.8410 0.3855 0.0445  2 Pt 1.78
H 0.8410 0.7964 0.4555  2 Pt 1.78
H 0.8416 0.7831 0.0585  2 Pt 1.87
Pt 0.1823 0.0000 0.6823  3 H 1.65-1.78
Pt 0.1823 0.5000 0.1823  3 H 1.65-1.78
Pt 0.8177 0.0000 0.3177  3 H 1.65-1.78
Pt 0.8177 0.5000 0.8177  3 H 1.65-1.78

Size of the total moment (μB per cell): 0.00
Total energy (eV/atom): -4.410
DOS at the Fermi energy (states/eV per cell): 4.36


Record 9
First-principles (PBE) data for SmHPt3 after structural relaxation, as listed in Alexandria.

Cell: 4.2194 4.2194 4.2194 Å, 90.00 90.00 90.00°
Closest atoms and distances in Å follow each position.
Fractional coordinates of all 5 atoms:
Sm 0.0000 0.0000 0.0000  12 Pt 2.98
H 0.5000 0.5000 0.5000  6 Pt 2.11
Pt 0.0000 0.5000 0.5000  2 H 2.11
Pt 0.5000 0.0000 0.5000  2 H 2.11
Pt 0.5000 0.5000 0.0000  2 H 2.11

Size of the total moment (μB per cell): 0.00
DOS at the Fermi energy (states/eV per cell): 0.53
Distance to the lowest polymorph of the same formula (meV/atom): 71.4


Record 10
First-principles (PBE) data for SmHPt after structural relaxation, as listed in Alexandria.

Cell: 4.0245 4.0245 3.6370 Å, 90.00 90.00 120.00°
Closest atoms and distances in Å follow each position.
Fractional coordinates of all 3 atoms:
Sm 0.0000 0.0000 0.0000  6 H 2.95, 6 Pt 2.95
H 0.3333 0.6667 0.5000  3 Pt 2.32
Pt 0.6667 0.3333 0.5000  3 H 2.32

Size of the total moment (μB per cell): 0.00
DOS at the Fermi energy (states/eV per cell): 1.34
Distance to the lowest polymorph of the same formula (meV/atom): 265.3


Record 11
First-principles (PBE) data for Sm2H4Pt after structural relaxation, as listed in Alexandria.

Cell: 7.3075 7.3075 7.3075 Å, 151.65 151.65 40.52°
Closest atoms and distances in Å follow each position.
Fractional coordinates of all 7 atoms:
Sm 0.1500 0.1500 0.0000  5 H 2.30-2.57
Sm 0.8500 0.8500 0.0000  5 H 2.30-2.57
H 0.0000 0.5000 0.5000  2 Pt 1.79
H 0.3179 0.3179 0.0000  5 Sm 2.30-2.57, 1 Pt 2.50
H 0.5000 0.0000 0.5000  2 Pt 1.79
H 0.6821 0.6821 0.0000  5 Sm 2.30-2.57, 1 Pt 2.50
Pt 0.5000 0.5000 0.0000  4 H 1.79

Size of the total moment (μB per cell): 0.00
Total energy (eV/atom): -4.592
DOS at the Fermi energy (states/eV per cell): 1.77


Record 12
First-principles (PBE) data for SmH12Pt6 after structural relaxation, as listed in Alexandria.

Cell: 6.2651 6.2651 6.2651 Å, 111.01 111.01 111.01°
Closest atoms and distances in Å follow each position.
Fractional coordinates of all 19 atoms:
Sm 0.0000 0.0000 0.0000  12 H 2.66-2.87
H 0.0135 0.3625 0.8195  2 Pt 1.74-1.94
H 0.1781 0.4624 0.4441  2 Pt 1.74-1.84
H 0.1805 0.9865 0.6375  2 Pt 1.74-1.94
H 0.3625 0.8195 0.0135  2 Pt 1.74-1.94
H 0.4441 0.1781 0.4624  2 Pt 1.74-1.84
H 0.4624 0.4441 0.1781  2 Pt 1.74-1.84
H 0.5376 0.5559 0.8219  2 Pt 1.74-1.84
H 0.5559 0.8219 0.5376  2 Pt 1.74-1.84
H 0.6375 0.1805 0.9865  2 Pt 1.74-1.94
H 0.8195 0.0135 0.3625  2 Pt 1.74-1.94
H 0.8219 0.5376 0.5559  2 Pt 1.74-1.84
H 0.9865 0.6375 0.1805  2 Pt 1.74-1.94
Pt 0.1696 0.2740 0.5924  4 H 1.74-1.94
Pt 0.2740 0.5924 0.1696  4 H 1.74-1.94
Pt 0.4076 0.8304 0.7260  4 H 1.74-1.94
Pt 0.5924 0.1696 0.2740  4 H 1.74-1.94
Pt 0.7260 0.4076 0.8304  4 H 1.74-1.94
Pt 0.8304 0.7260 0.4076  4 H 1.74-1.94

Size of the total moment (μB per cell): 0.00
Total energy (eV/atom): -4.390
DOS at the Fermi energy (states/eV per cell): 0.80